Density functional theory data (meta-GGA SCAN) for a PBEsol-optimized structure of Na5BiP4O14.

Properties
- raw formation energy (meV/atom) = -2373.8
- theoretical density (g cm⁻³) = 3.64
- calculated total energy (eV/atom) = -11.894

Lattice parameters (Å, degrees): 7.310 9.302 9.810 81.30 78.11 70.44
Positions (direct):
Na: 0.271 0.266 0.595
O: 0.113 0.677 0.383
O: 0.760 0.525 0.092
Bi: 0.129 0.878 0.229
O: 0.240 0.475 0.908
O: 0.888 0.193 0.407
O: 0.392 0.669 0.151
P: 0.180 0.134 0.971
Na: 0.757 0.267 0.119
P: 0.720 0.109 0.451
O: 0.465 0.786 0.602
O: 0.966 0.762 0.127
Na: 0.243 0.733 0.881
O: 0.101 0.356 0.383
Na: 0.434 0.476 0.339
O: 0.772 0.035 0.045
O: 0.228 0.965 0.955
Na: 0.729 0.734 0.405
O: 0.887 0.323 0.617
O: 0.379 0.180 0.917
P: 0.900 0.349 0.455
P: 0.280 0.891 0.549
O: 0.608 0.331 0.849
O: 0.426 0.329 0.102
Na: 0.066 0.490 0.160
O: 0.813 0.961 0.377
O: 0.187 0.039 0.623
O: 0.899 0.644 0.617
Na: 0.934 0.510 0.840
O: 0.105 0.172 0.123
P: 0.100 0.651 0.545
O: 0.574 0.671 0.898
O: 0.276 0.519 0.582
Na: 0.659 0.845 0.729
P: 0.820 0.866 0.029
O: 0.535 0.214 0.398
O: 0.895 0.828 0.877
O: 0.112 0.807 0.593
O: 0.724 0.481 0.418
P: 0.411 0.339 0.948
O: 0.621 0.820 0.083
Bi: 0.871 0.122 0.771
Na: 0.566 0.524 0.661
O: 0.315 0.920 0.388
O: 0.685 0.080 0.612
P: 0.589 0.661 0.052
O: 0.034 0.238 0.873
Na: 0.341 0.155 0.271